## Mn4Te5H2 (PBE-GGA)

Data for a relaxed Mn4Te5H2 crystal.

Cell and atoms, written as POSCAR:
```
Mn4Te5H2
1.0
8.7602 -1.7468 0.0000
8.7602 1.7468 0.0000
-1.8047 0.0000 7.7057
Mn Te H
4 5 2
Cartesian
-0.4042 0.0000 1.8003 Mn
5.4562 0.0000 7.3606 Mn
10.2595 0.0000 0.3451 Mn
16.1199 0.0000 5.9054 Mn
1.1061 0.0000 6.6111 Te
2.1610 0.0000 2.2533 Te
7.8579 0.0000 3.8528 Te
13.5547 0.0000 5.4524 Te
14.6096 0.0000 1.0946 Te
8.5374 0.0000 0.9801 H
7.1783 0.0000 6.7256 H
```

Output
Space group ... C2/m (12)
VASP energy ... -5.43 eV per atom

## BaLi2CdGe (PBE-GGA)

Data for a relaxed BaLi2CdGe crystal.

Cell and atoms, written as POSCAR:
```
BaLi2CdGe
1.0
5.0292 0.0000 0.0000
0.0000 5.0292 0.0000
0.0000 0.0000 5.6093
Ba Li Cd Ge
1 2 1 1
Cartesian
0.0000 0.0000 0.0000 Ba
0.0000 2.5146 2.8046 Li
2.5146 0.0000 2.8046 Li
2.5146 2.5146 0.0000 Cd
2.5146 2.5146 2.8046 Ge
```

Output
ΔH_f (0 K) ... -168 meV per atom
Space group ... P4/mmm (123)

## La2BeCr (PBE-GGA)

Data for a relaxed La2BeCr crystal.

Cell and atoms, written as POSCAR:
```
La2BeCr
1.0
5.1633 0.0000 0.0000
0.0000 5.1633 0.0000
0.0000 0.0000 3.7085
La Be Cr
2 1 1
Cartesian
0.0000 2.5817 0.0000 La
2.5817 0.0000 0.0000 La
0.0000 0.0000 1.8543 Be
2.5817 2.5817 1.8543 Cr
```

Output
ΔH_f (0 K) ... 362 meV per atom
Space group ... P4/mmm (123)

## Rb2RuCS (PBE-GGA)

Data for a relaxed Rb2RuCS crystal.

Cell and atoms, written as POSCAR:
```
Rb2RuCS
1.0
6.5285 0.0000 0.0000
0.0000 6.5285 0.0000
0.0000 0.0000 4.3226
Rb Ru C S
2 1 1 1
Cartesian
0.0000 3.2643 0.0000 Rb
3.2643 0.0000 0.0000 Rb
0.0000 0.0000 2.1613 Ru
3.2643 3.2643 2.1613 C
0.0000 0.0000 0.0000 S
```

Output
Raw formation energy ... 1.129 eV/atom
Space group ... P4/mmm (123)

## Th2Tc (PBE-GGA)

Data for a relaxed Th2Tc crystal.

Cell and atoms, written as POSCAR:
```
Th2Tc
1.0
3.5977 0.0000 0.0000
0.0000 3.5977 0.0000
0.0000 0.0000 11.4153
Th Tc
4 2
Cartesian
0.0000 0.0000 1.7520 Th
0.0000 0.0000 9.6633 Th
1.7989 1.7989 3.9556 Th
1.7989 1.7989 7.4597 Th
0.0000 0.0000 5.7077 Tc
1.7989 1.7989 0.0000 Tc
```

Output
ΔH_f (0 K) ... -80 meV per atom
Distance to the lowest polymorph of the same formula ... 0.059 eV per atom
Space group ... I4/mmm (139)

## YWN3 (PBE-GGA)

Data for a relaxed YWN3 crystal.

Cell and atoms, written as POSCAR:
```
YWN3
1.0
3.7803 0.0000 0.0000
0.3220 5.7358 0.0000
0.6855 1.0533 5.9606
Y W N
2 2 6
Cartesian
0.5926 1.9496 1.5448 Y
4.1953 4.8394 4.4158 Y
2.3960 2.0184 4.3374 W
2.3918 4.7706 1.6232 W
0.5432 4.3862 2.0001 N
2.2598 3.8421 5.4372 N
1.8902 0.0000 0.0000 N
2.2329 0.5266 2.9803 N
2.5280 2.9469 0.5234 N
4.2447 2.4028 3.9605 N
```

Output
Raw formation energy ... -0.747 eV/atom
Space group ... P-1 (2)

## EuY3 (PBE-GGA)

Data for a relaxed EuY3 crystal.

Cell and atoms, written as POSCAR:
```
EuY3
1.0
5.1255 0.0000 0.0000
0.0000 5.1255 0.0000
0.0000 0.0000 10.2684
Eu Y
2 6
Cartesian
0.0000 0.0000 0.0000 Eu
2.5627 2.5627 5.1342 Eu
0.0000 0.0000 5.1342 Y
0.0000 2.5627 2.5671 Y
0.0000 2.5627 7.7013 Y
2.5627 0.0000 2.5671 Y
2.5627 0.0000 7.7013 Y
2.5627 2.5627 0.0000 Y
```

Output
ΔH_f (0 K) ... 92 meV per atom
Distance to the lowest polymorph of the same formula ... 0.030 eV per atom
Space group ... I4/mmm (139)

## Ac8PdPt4 (PBE-GGA)

Data for a relaxed Ac8PdPt4 crystal.

Cell and atoms, written as POSCAR:
```
Ac8PdPt4
1.0
10.8290 -2.2349 0.0000
10.8290 2.2349 0.0000
-9.2864 0.0000 10.9901
Ac Pd Pt
8 1 4
Cartesian
0.0000 0.0000 0.0000 Ac
-6.1770 0.0000 8.2612 Ac
-2.1682 0.0000 10.1237 Ac
1.1806 0.0000 7.4824 Ac
4.4981 0.0000 4.7145 Ac
8.2254 0.0000 6.5723 Ac
14.6098 0.0000 0.9946 Ac
18.2471 0.0000 2.8344 Ac
13.5259 0.0000 5.9238 Pd
-4.3830 0.0000 5.6817 Pt
5.6316 0.0000 1.8414 Pt
3.1851 0.0000 9.8178 Pt
10.2756 0.0000 8.8304 Pt
```

Output
ΔH_f (0 K) ... -773 meV per atom
Space group ... Cm (8)

## BaPrP2Pd2 (PBE-GGA)

Data for a relaxed BaPrP2Pd2 crystal.

Cell and atoms, written as POSCAR:
```
BaPrP2Pd2
1.0
4.2470 0.0000 0.0000
-2.1235 3.6780 0.0000
0.0000 0.0000 8.7269
Ba Pr P Pd
1 1 2 2
Cartesian
0.0000 0.0000 0.0000 Ba
0.0000 0.0000 4.3635 Pr
0.0000 2.4520 2.4203 P
2.1235 1.2260 6.3066 P
0.0000 2.4520 6.3764 Pd
2.1235 1.2260 2.3505 Pd
```

Output
ΔH_f (0 K) ... -1106 meV per atom
Space group ... P-3m1 (164)

## BaPrO2 (PBE-GGA)

Data for a relaxed BaPrO2 crystal.

Cell and atoms, written as POSCAR:
```
BaPrO2
1.0
3.6818 0.0000 0.0000
-1.8409 3.1885 0.0000
0.0000 0.0000 19.8526
Ba Pr O
3 3 6
Cartesian
0.0000 0.0000 0.0000 Ba
0.0000 2.1257 13.2351 Ba
1.8409 1.0628 6.6175 Ba
0.0000 0.0000 3.4545 Pr
0.0000 2.1257 16.6895 Pr
1.8409 1.0628 10.0720 Pr
0.0000 0.0000 11.3624 O
0.0000 0.0000 15.3741 O
0.0000 2.1257 4.7449 O
0.0000 2.1257 8.7566 O
1.8409 1.0628 2.1391 O
1.8409 1.0628 17.9800 O
```

Output
Raw formation energy ... -2.505 eV/atom
Distance to the lowest polymorph of the same formula ... 0.121 eV per atom
Space group ... R3m (160)

## LiMnNbSb (PBE-GGA)

Data for a relaxed LiMnNbSb crystal.

Cell and atoms, written as POSCAR:
```
LiMnNbSb
1.0
6.1801 0.0000 0.0000
0.0000 6.1801 0.0000
0.0000 0.0000 6.1801
Li Mn Nb Sb
4 4 4 4
Cartesian
0.0000 0.0000 0.0000 Li
0.0000 3.0901 3.0901 Li
3.0901 0.0000 3.0901 Li
3.0901 3.0901 0.0000 Li
0.0000 0.0000 3.0901 Mn
0.0000 3.0901 0.0000 Mn
3.0901 0.0000 0.0000 Mn
3.0901 3.0901 3.0901 Mn
1.5450 1.5450 1.5450 Nb
1.5450 4.6351 4.6351 Nb
4.6351 1.5450 4.6351 Nb
4.6351 4.6351 1.5450 Nb
1.5450 1.5450 4.6351 Sb
1.5450 4.6351 1.5450 Sb
4.6351 1.5450 1.5450 Sb
4.6351 4.6351 4.6351 Sb
```

Output
Raw formation energy ... -0.194 eV/atom
Space group ... F-43m (216)

## Ca2ZrN2Cl2 (PBE-GGA)

Data for a relaxed Ca2ZrN2Cl2 crystal.

Cell and atoms, written as POSCAR:
```
Ca2ZrN2Cl2
1.0
4.2990 0.0000 0.0000
0.0000 4.2990 0.0000
0.0000 0.0000 14.3717
Ca Zr N Cl
4 2 4 4
Cartesian
0.0000 0.0000 1.4892 Ca
0.0000 0.0000 12.8825 Ca
2.1495 2.1495 5.6966 Ca
2.1495 2.1495 8.6750 Ca
0.0000 0.0000 7.1858 Zr
2.1495 2.1495 0.0000 Zr
0.0000 2.1495 0.0000 N
0.0000 2.1495 7.1858 N
2.1495 0.0000 0.0000 N
2.1495 0.0000 7.1858 N
0.0000 0.0000 4.5131 Cl
0.0000 0.0000 9.8586 Cl
2.1495 2.1495 2.6728 Cl
2.1495 2.1495 11.6989 Cl
```

Output
Raw formation energy ... -1.626 eV/atom
Space group ... I4/mmm (139)